Compound: BeTlInBr4
Source: the Alexandria database
Functional: PBE
Structure: optimized geometry

Cell: 7.0123 7.2889 9.5860 Å, 90.00 109.21 90.00°
With the nearest neighbours (Å) after each atom.
Space group P2_1/m (No. 11)
Asymmetric unit:
Be 0.1963 0.2500 0.2833 (multiplicity 2)  4 Br 2.20
Tl 0.2838 0.7500 0.0791 (multiplicity 2)  5 Br 3.35-3.61
In 0.2154 0.7500 0.5393 (multiplicity 2)  4 Br 3.19-3.48
Br 0.0024 0.5084 0.7788 (multiplicity 4)  1 Be 2.20
Br 0.3516 0.2500 0.5241 (multiplicity 2)  1 Be 2.20
Br 0.4115 0.2500 0.1600 (multiplicity 2)  1 Be 2.20

Output
Uncorrected formation energy (eV/atom): -0.888
M_tot (μB per atom): 0.000



Compound: Ge2BiB
Source: the Alexandria database
Functional: PBE
Structure: optimized geometry

Cell: 6.9102 6.9102 6.9102 Å, 90.00 90.00 90.00°
With the nearest neighbours (Å) after each atom.
Space group Fm-3m (No. 225)
Asymmetric unit:
Ge 0.2500 0.2500 0.2500 (multiplicity 8)  4 Bi 2.99, 4 B 2.99
Bi 0.0000 0.0000 0.0000 (multiplicity 4)  8 Ge 2.99
B 0.0000 0.0000 0.5000 (multiplicity 4)  8 Ge 2.99

Output
DFT formation energy (kJ/mol of formula units): 447
M_tot (μB per atom): 0.000
Distance to the lowest polymorph of the same formula (eV per formula unit): 3.40



Compound: Tl4InPb2
Source: the Alexandria database
Functional: PBE
Structure: optimized geometry

Cell: 5.8034 5.8034 15.9410 Å, 90.00 90.00 90.00°
With the nearest neighbours (Å) after each atom.
Space group I4/mmm (No. 139)
Asymmetric unit:
Tl 0.0000 0.0000 0.1935 (multiplicity 4)  1 In 3.09, 1 Pb 3.18
Tl 0.0000 0.5000 0.0000 (multiplicity 4)  2 In 2.90
In 0.0000 0.0000 0.0000 (multiplicity 2)  6 Tl 2.90-3.09
Pb 0.0000 0.0000 0.3932 (multiplicity 4)  5 Tl 3.18-3.36, 1 Pb 3.41

Output
DFT formation energy (kJ/mol of formula units): 182
M_tot (μB per atom): 0.000
Distance to the lowest polymorph of the same formula (eV per formula unit): 1.28



Compound: KLi2AgI4
Source: the Alexandria database
Functional: PBE
Structure: optimized geometry

Cell: 7.0444 7.0444 12.8693 Å, 90.00 90.00 90.00°
With the nearest neighbours (Å) after each atom.
Space group I-42m (No. 121)
Asymmetric unit:
K 0.0000 0.0000 0.0000 (multiplicity 2)  4 I 3.39
Li 0.0000 0.5000 0.2500 (multiplicity 4)  4 I 2.84
Ag 0.0000 0.0000 0.5000 (multiplicity 2)  4 I 2.88
I 0.2176 0.2176 0.3529 (multiplicity 8)  2 Li 2.84, 1 Ag 2.88

Output
Uncorrected formation energy (eV/atom): -1.002
M_tot (μB per atom): 0.000



Compound: YTa2Sb
Source: the Alexandria database
Functional: PBE
Structure: optimized geometry

Cell: 3.6783 3.6783 6.5271 Å, 90.00 90.00 90.00°
With the nearest neighbours (Å) after each atom.
Space group P4/mmm (No. 123)
Asymmetric unit:
Y 0.0000 0.0000 0.0000 (multiplicity 1)  8 Ta 3.25, 2 Sb 3.26
Ta 0.5000 0.5000 0.2985 (multiplicity 2)  1 Ta 2.63, 4 Sb 2.91
Sb 0.0000 0.0000 0.5000 (multiplicity 1)  8 Ta 2.91, 2 Y 3.26

Output
Uncorrected formation energy (eV/atom): 0.127
M_tot (μB per atom): 0.000



Compound: NpCdCu
Source: the Alexandria database
Functional: PBE
Structure: optimized geometry

Cell: 2.9460 2.9460 13.2579 Å, 90.00 90.00 90.00°
With the nearest neighbours (Å) after each atom.
Space group I4mm (No. 107)
Asymmetric unit:
Np 0.0000 0.0000 0.0000 (multiplicity 2)  4 Np 2.95, 4 Cu 2.97
Cd 0.0000 0.0000 0.2990 (multiplicity 2)  4 Cu 2.78, 4 Cd 2.95
Cu 0.0000 0.0000 0.6600 (multiplicity 2)  4 Cd 2.78, 4 Cu 2.95, 4 Np 2.97

Output
DFT formation energy (kJ/mol of formula units): 63
M_tot (μB per atom): 1.348



Compound: Li4CaIn2Ag
Source: the Alexandria database
Functional: PBE
Structure: optimized geometry

Cell: 4.7713 4.7713 24.5991 Å, 90.00 90.00 120.00°
With the nearest neighbours (Å) after each atom.
Space group R-3m (No. 166, hexagonal axes)
Asymmetric unit:
Li 0.0000 0.0000 0.1068 (multiplicity 6)  1 Ag 2.63, 3 In 2.83
Li 0.0000 0.0000 0.3676 (multiplicity 6)  4 In 2.84-2.99, 3 Ag 2.88
Ca 0.0000 0.0000 0.5000 (multiplicity 3)  8 Li 3.12-3.26, 6 In 3.47
In 0.0000 0.0000 0.2523 (multiplicity 6)  7 Li 2.83-2.99
Ag 0.0000 0.0000 0.0000 (multiplicity 3)  8 Li 2.63-2.88

Output
DFT formation energy (kJ/mol of formula units): -182
M_tot (μB per atom): 0.000



Compound: ScPbSe4
Source: the Alexandria database
Functional: PBE
Structure: optimized geometry

Cell: 8.2441 8.2441 8.2441 Å, 90.00 90.00 90.00°
With the nearest neighbours (Å) after each atom.
Space group F-43m (No. 216)
Asymmetric unit:
Sc 0.0000 0.0000 0.0000 (multiplicity 4)  12 Se 3.41, 4 Pb 3.57
Pb 0.2500 0.2500 0.2500 (multiplicity 4)  12 Se 3.42, 4 Sc 3.57
Se 0.1262 0.1262 0.6262 (multiplicity 16)  6 Se 2.89-2.94

Output
Uncorrected formation energy (eV/atom): 0.168
M_tot (μB per atom): 0.000



Q: Which value of M_tot does entry 6 give?
A: 1.348 μB per atom